Density functional theory data (GGA-PBE) for Pa5AlGa4 after structural relaxation.

a = 3.149 Å, b = 3.149 Å, c = 21.753 Å
α = 90.00°, β = 90.00°, γ = 90.00°
Positions (direct):
Pa 0.500 0.500 0.102
Pa 0.500 0.500 0.500
Pa 0.500 0.500 0.699
Ga 0.000 0.000 0.401
Ga 0.000 0.000 0.599
Al 0.000 0.000 0.000
Ga 0.000 0.000 0.799
Pa 0.500 0.500 0.898
Ga 0.000 0.000 0.201
Pa 0.500 0.500 0.301

Computed properties:
The total energy comes out at -6.56 eV per atom. As for the energy of formation: -22.1 kJ/mol of atoms.

---

Density functional theory data (GGA-PBE) for GaNiIrC after structural relaxation.

a = 3.909 Å, b = 3.655 Å, c = 8.691 Å
α = 90.00°, β = 90.00°, γ = 90.00°
Positions (direct):
Ni 0.000 0.500 0.445
Ga 0.500 0.000 0.755
Ir 0.500 0.000 0.464
Ga 0.500 0.500 0.255
C 0.000 0.500 0.987
Ni 0.000 0.000 0.945
Ir 0.500 0.500 0.964
C 0.000 0.000 0.487

Computed properties:
The total energy comes out at -6.52 eV per atom. The calculation puts the energy above the lowest structure with this stoichiometry at 83 meV per atom. As for the energy of formation: 20.0 kJ/mol of atoms.

---

Density functional theory data (GGA-PBE) for Al2InIr2 after structural relaxation.

a = 3.756 Å, b = 3.756 Å, c = 6.608 Å
α = 73.49°, β = 73.49°, γ = 90.00°
Positions (direct):
Ir 0.389 0.389 0.222
In 0.000 0.000 0.000
Al 0.750 0.250 0.500
Ir 0.611 0.611 0.778
Al 0.250 0.750 0.500

Computed properties:
The total energy comes out at -6.09 eV per atom. The calculation puts the energy above the lowest structure with this stoichiometry at 82 meV per atom. As for the energy of formation: -48.7 kJ/mol of atoms.